Entry 1:
Compound: SrSi4Pd6
Source: Alexandria
Functional: GGA-PBE
Structure: optimized geometry

ρ = 7880 kg/m³
formation energy (no corrections) = -0.713 eV per atom
space-group type = P-6m2

```
11
Lattice="3.950 0.000 0.000 0.000 7.187 0.000 0.000 -3.594 6.224" Properties=species:S:1:pos:R:3 pbc="T T T"
Pd 0.000 5.025 2.901
Si 1.975 5.049 1.234
Si 1.975 3.594 3.756
Pd 0.000 3.594 0.422
Pd 1.975 0.000 2.498
Pd 1.975 1.430 4.975
Si 0.000 0.000 4.150
Pd 1.975 -1.430 4.975
Pd 0.000 2.162 2.901
Si 1.975 2.138 1.234
Sr 0.000 0.000 0.000
```

***

Entry 2:
Compound: Sr2Si2Pd3
Source: Alexandria
Functional: GGA-PBE
Structure: optimized geometry

ρ = 6081 kg/m³
formation energy (no corrections) = -0.694 eV per atom
space-group type = C2/m

```
7
Lattice="-2.478 -1.181 -2.881 2.966 -4.836 2.179 -5.723 2.142 4.045" Properties=species:S:1:pos:R:3 pbc="T T T"
Si -0.786 -1.102 1.128
Pd -1.239 -0.590 -1.440
Sr -3.940 0.252 3.285
Sr -1.295 -4.127 0.057
Si -4.449 -2.774 2.215
Pd -3.106 -1.371 0.485
Pd -2.129 -2.505 2.858
```

***

Entry 3:
Compound: SrSi3Pd10
Source: Alexandria
Functional: GGA-PBE
Structure: optimized geometry

ρ = 8732 kg/m³
formation energy (no corrections) = -0.611 eV per atom
space-group type = Fm-3m

```
28
Lattice="-5.919 -6.239 -1.489 0.553 -7.631 4.200 -5.847 -2.027 6.155" Properties=species:S:1:pos:R:3 pbc="T T T"
Pd -3.894 -4.105 -0.980
Pd -3.705 -6.715 0.457
Pd 0.364 -5.020 2.763
Pd -3.846 -1.334 4.049
Pd -7.021 -8.977 2.751
Pd -4.083 -9.609 5.334
Pd -3.657 -3.944 5.486
Pd -1.661 -7.155 2.254
Sr -8.410 -11.923 6.650
Pd -4.192 -6.920 6.115
Pd -4.334 -6.144 3.427
Si -5.752 -7.150 1.666
Pd -2.025 -2.135 -0.509
Pd -6.988 -7.065 6.221
Pd -1.637 -5.714 4.869
Sr -2.803 -3.974 2.217
Pd -6.879 -9.753 5.439
Pd -4.225 -8.833 2.645
Si -5.461 -8.747 7.200
Pd -5.871 -3.468 3.540
Si -5.494 -10.716 3.628
Si -5.719 -5.181 5.238
Si -8.485 -8.097 4.542
Pd -2.000 -0.694 2.106
Pd -5.894 -4.798 1.126
Si -2.728 -7.800 4.324
Pd 0.189 -2.611 1.437
Pd -7.130 -6.289 3.532
```

***

Entry 4:
Compound: SrSi2Pd2
Source: Alexandria
Functional: GGA-PBE
Structure: optimized geometry

ρ = 6288 kg/m³
formation energy (no corrections) = -0.743 eV per atom
space-group type = C2/m

```
5
Lattice="-0.028 2.676 -3.408 -4.324 -0.240 -0.158 1.853 2.713 4.882" Properties=species:S:1:pos:R:3 pbc="T T T"
Sr 0.000 0.000 0.000
Pd -0.179 3.301 -0.152
Si -2.258 2.213 -1.000
Si -0.240 2.937 2.316
Pd -2.319 1.848 1.468
```

***

Entry 5:
Compound: Sr3Si2Pd6
Source: Alexandria
Functional: GGA-PBE
Structure: optimized geometry

ρ = 6980 kg/m³
formation energy (no corrections) = -0.658 eV per atom
space-group type = Im-3m

```
22
Lattice="7.916 0.000 -2.799 -3.958 6.855 -2.799 0.000 0.000 8.396" Properties=species:S:1:pos:R:3 pbc="T T T"
Pd 2.715 4.703 -0.716
Pd -2.715 4.703 0.716
Pd 2.485 0.000 4.881
Si 3.958 0.000 -1.399
Sr -2.779 4.814 3.931
Pd 0.230 4.703 2.799
Sr 5.559 0.000 3.931
Pd 3.728 2.152 0.000
Sr 2.357 0.000 1.667
Pd 4.188 2.152 -2.799
Pd 3.958 2.550 2.799
Sr 2.779 4.814 -3.931
Pd -0.230 4.703 -2.799
Pd 0.000 4.305 0.000
Pd 5.430 0.000 0.716
Pd 1.243 2.152 3.515
Sr -1.179 2.041 1.667
Sr 1.179 2.041 -1.667
Si -1.979 3.428 -1.399
Pd -1.243 2.152 4.881
Si 1.979 3.428 1.399
Si 0.000 0.000 4.198
```

***

Entry 6:
Compound: SrSi2Pd3
Source: Alexandria
Functional: GGA-PBE
Structure: optimized geometry

ρ = 7112 kg/m³
formation energy (no corrections) = -0.724 eV per atom
space-group type = C2/m

```
18
Lattice="-0.356 1.690 3.667 -8.078 -1.076 -2.527 3.014 -8.686 4.295" Properties=species:S:1:pos:R:3 pbc="T T T"
Pd -3.723 -7.080 2.902
Pd -1.697 -0.991 2.532
Pd -2.435 -3.540 1.395
Si -1.112 -3.084 3.553
Si -4.307 -4.988 1.881
Pd -2.984 -4.532 4.039
Si -7.052 -2.215 0.337
Si 1.633 -5.857 5.097
Sr -0.466 -6.128 2.779
Pd -0.200 -7.607 5.726
Sr -4.953 -1.944 2.655
Pd 0.292 -2.917 1.373
Sr 0.000 0.000 0.000
Pd -5.711 -5.155 4.061
Si -2.518 -6.856 5.155
Pd -5.219 -0.465 -0.292
Si -2.901 -1.216 0.279
Pd 1.329 -3.498 3.981
```

***

Entry 7:
Compound: Sr3SiPd
Source: Alexandria
Functional: GGA-PBE
Structure: optimized geometry

ρ = 3530 kg/m³
formation energy (no corrections) = -0.064 eV per atom
distance to the lowest polymorph of the same formula = 0 meV/atom
space-group type = Pm-3m

```
5
Lattice="-0.143 -1.393 -5.544 -3.749 -4.163 1.143 -4.315 3.664 -0.809" Properties=species:S:1:pos:R:3 pbc="T T T"
Sr -1.875 -2.082 0.572
Si -4.104 -0.947 -2.605
Sr -0.072 -0.697 -2.772
Pd 0.000 0.000 0.000
Sr -2.157 1.832 -0.405
```

***

Entry 8:
Compound: SrSi4Pd4
Source: Alexandria
Functional: GGA-PBE
Structure: optimized geometry

ρ = 6350 kg/m³
formation energy (no corrections) = -0.651 eV per atom
distance to the lowest polymorph of the same formula = 0 meV/atom
space-group type = I4/m

```
18
Lattice="-2.670 3.114 2.170 -5.726 -0.654 -6.108 -3.792 -6.192 4.218" Properties=species:S:1:pos:R:3 pbc="T T T"
Si -3.466 -0.926 2.024
Si -6.920 -4.179 2.445
Pd -7.284 -0.903 -2.707
Pd -4.536 -1.618 -3.261
Pd -4.982 -5.228 1.371
Si -5.270 0.448 -2.164
Sr 0.000 0.000 0.000
Pd -9.827 -1.538 0.036
Si -5.638 -0.766 4.083
Si -6.890 -5.905 -0.005
Pd -8.455 -4.061 0.384
Si -8.722 -2.807 -1.745
Pd -4.904 -2.830 2.987
Si -2.628 -0.940 -1.884
Si -9.221 0.146 -1.634
Sr -6.094 -1.866 0.140
Pd -5.031 0.919 2.413
Pd -3.733 0.329 -0.103
```

***

Entry 9:
Compound: SrSi4Pd12
Source: Alexandria
Functional: GGA-PBE
Structure: optimized geometry

ρ = 8188 kg/m³
formation energy (no corrections) = -0.423 eV per atom
space-group type = Im-3

```
17
Lattice="7.301 0.000 0.000 -2.434 6.883 0.000 -2.434 -3.442 5.961" Properties=species:S:1:pos:R:3 pbc="T T T"
Si -1.217 3.442 0.000
Pd -2.376 1.680 4.941
Sr 0.000 0.000 0.000
Pd 2.376 5.119 1.015
Pd -0.833 0.589 3.051
Pd 3.267 2.852 2.910
Pd -1.600 4.536 2.036
Pd 4.810 1.761 1.020
Si 1.217 1.721 2.980
Pd 2.491 -0.003 2.036
Pd 0.833 2.937 1.015
Pd -0.057 3.445 3.925
Pd 4.034 -1.094 3.925
Pd 1.600 0.505 4.946
Pd 0.057 -1.677 4.946
Si -1.217 -1.721 2.980
Si 3.650 0.000 0.000
```

***

Entry 10:
Compound: SrSi2Pd
Source: Alexandria
Functional: GGA-PBE
Structure: optimized geometry

ρ = 5336 kg/m³
formation energy (no corrections) = 0.006 eV per atom
space-group type = Fm-3m

```
4
Lattice="3.828 -2.577 1.297 -0.120 -4.783 -0.293 2.604 -2.263 -3.327" Properties=species:S:1:pos:R:3 pbc="T T T"
Si 4.734 -7.217 -1.742
Pd 3.156 -4.812 -1.162
Sr 0.000 0.000 0.000
Si 1.578 -2.406 -0.581
```

***

Entry 11:
Compound: SrSi2Pd2
Source: Alexandria
Functional: GGA-PBE
Structure: optimized geometry

ρ = 6476 kg/m³
formation energy (no corrections) = -0.317 eV per atom
space-group type = P4/mbm

```
10
Lattice="7.786 0.000 0.000 0.000 7.786 0.000 0.000 0.000 3.017" Properties=species:S:1:pos:R:3 pbc="T T T"
Pd 4.890 0.997 0.000
Pd 0.997 2.896 0.000
Si 6.658 2.765 1.508
Pd 6.789 4.890 0.000
Sr 0.000 0.000 0.000
Si 1.128 5.021 1.508
Si 5.021 6.658 1.508
Si 2.765 1.128 1.508
Pd 2.896 6.789 0.000
Sr 3.893 3.893 0.000
```

***

Entry 12:
Compound: SrSiPd3
Source: Alexandria
Functional: GGA-PBE
Structure: optimized geometry

ρ = 5379 kg/m³
formation energy (no corrections) = 1.198 eV per atom
distance to the lowest polymorph of the same formula = 1886 meV/atom
space-group type = Pm-3m

```
5
Lattice="5.121 0.000 0.000 0.000 5.121 0.000 0.000 0.000 5.121" Properties=species:S:1:pos:R:3 pbc="T T T"
Pd 0.000 2.560 0.000
Pd 2.560 0.000 0.000
Sr 0.000 0.000 0.000
Si 2.560 2.560 2.560
Pd 0.000 0.000 2.560
```